i:
SrTc2Au after structural relaxation. Source: the Alexandria database, functional GGA-PBE.

Structure (POSCAR):
```
SrTc2Au
1.0
4.754 -0.057 0.000
0.046 4.754 0.000
-2.400 -2.348 3.365
Au Sr Tc
1 1 2
Cartesian
2.400 2.348 0.000
2.377 -0.028 1.683
0.000 0.000 0.000
0.023 2.377 1.683
```

***

ii:
SrTc2Au after structural relaxation. Source: the Alexandria database, functional GGA-PBE.

Structure (POSCAR):
```
SrTc2Au
1.0
-3.016 4.695 0.895
-1.785 -4.852 2.283
1.439 0.505 2.199
Au Sr Tc
1 1 2
Cartesian
-0.788 2.600 1.547
-0.173 -2.173 2.241
0.000 0.000 0.000
-2.400 -0.079 1.589
```

***

iii:
SrTc2Au after structural relaxation. Source: the Alexandria database, functional GGA-PBE.

Structure (POSCAR):
```
SrTc2Au
1.0
6.144 -0.004 0.009
3.507 5.045 -0.009
-4.212 -3.697 2.520
Au Sr Tc
1 1 2
Cartesian
3.379 -0.590 1.264
2.061 1.935 1.255
9.388 4.903 0.000
5.090 2.659 0.000
```

***

Verdict on stability: iii comes out on top.